Compound: SrAc6Nd
Source: Alexandria
Functional: PBE-GGA
Structure: relaxed

Calculated values
SG ... P4/mmm, No. 123
Magnetic moment ... 0.0 Bohr magnetons per cell
E ... -30.770 eV per formula unit

abc: 5.630 5.630 11.228
angles: 90.00 90.00 90.00
Fractional positions:
Sr1 0.000 0.000 0.000
Ac1 0.000 0.500 0.260
Ac2 0.000 0.500 0.740
Ac3 0.500 0.000 0.260
Ac4 0.500 0.000 0.740
Ac5 0.500 0.500 0.000
Ac6 0.500 0.500 0.500
Nd1 0.000 0.000 0.500